Compound: Li2CuSi
Source: Alexandria via LeMat-Bulk
Functional: GGA-PBE
Structure: optimized geometry

## Properties
Fermi-level density of states   0.2159 states/eV/atom
Formation energy from raw total energies   -0.567 eV/f.u.
Magnetization   0.000 Bohr magnetons per cell

a b c (Å): 3.146 3.904 4.219
angles (deg): 90.00 90.00 90.00
Fractional coordinates of all 4 atoms:
Cu 0.000 0.500 0.500
Li 0.000 0.000 0.000
Li 0.500 0.500 0.000
Si 0.500 0.000 0.500